Record 1
Below is a relaxed structure of MgTcF2, with properties calculated at the PBE-GGA level.

The structure belongs to space group I-42d (No. 122); the cell edges are 5.4339, 5.4339 and 9.4801 Å and the angles 90.00°, 90.00° and 90.00°. The inequivalent atoms are Mg at (0.0000, 0.0000, 0.0000), Tc at (0.0000, 0.0000, 0.5000) and F at (0.1071, 0.2500, 0.1250).

The value obtained for the density is 3.80 g/cm3. Its magnetization is 4.0 μB/f.u. Its energy relative to the elements, uncorrected is -1.1049 eV per atom. For the energy above the most stable polymorph in this dataset, the calculation gives 0.645 eV per atom.

***

Record 2
Below is a relaxed structure of MgTc2F11, with properties calculated at the PBE-GGA level.

The structure belongs to space group Ibam (No. 72); the cell edges are 8.4441, 9.3298 and 10.2384 Å and the angles 90.00°, 90.00° and 90.00°. The inequivalent atoms are Mg at (0.0000, 0.0000, 0.2500), Tc at (0.1839, 0.3544, 0.0000), F at (0.0000, 0.5000, 0.0000), F at (0.0783, 0.2586, 0.1379), F at (0.1745, 0.2956, 0.5000) and F at (0.1779, 0.0466, 0.3702).

The value obtained for the density is 3.54 g/cm3. Its magnetization is 5.0 μB/f.u. Its energy relative to the elements, uncorrected is -2.2825 eV per atom.

***

Record 3
Below is a relaxed structure of Mg2TcF8, with properties calculated at the PBE-GGA level.

The structure belongs to space group P-1 (No. 2); the cell edges are 5.1614, 5.1879 and 5.8625 Å and the angles 115.64°, 107.27° and 98.19°. The inequivalent atoms are Mg at (0.2043, 0.2656, 0.4800), Tc at (0.5000, 0.0000, 0.0000), F at (0.1197, 0.6348, 0.7513), F at (0.2012, 0.0791, 0.7252), F at (0.3243, 0.9401, 0.2483) and F at (0.4218, 0.3920, 0.2401).

The value obtained for the density is 3.87 g/cm3. Its magnetization is 1.0 μB/f.u. Its energy relative to the elements, uncorrected is -2.6775 eV per atom.